1.
# Cd2Hg

Cd2Hg after structural relaxation (PBE-GGA, the Alexandria database).

The structure belongs to space group P4/mmm (No. 123); the cell edges are 4.330, 4.330 and 4.320 Å and the angles 90.00°, 90.00° and 90.00°. The distinct sites, in fractional coordinates, are Cd at (0.000, 0.500, 0.000) and Hg at (0.000, 0.000, 0.500).

Its volume is 27.0 Å³ per atom. The spin magnetization is 0.0 μB/cell. As for the energy of formation from the pure elements: 0.082 eV per atom. The value obtained for the density of states at the Fermi level is 1.5 states/eV per cell.


2.
# Cd2Hg

Cd2Hg after structural relaxation (PBE-GGA, the Alexandria database).

The structure belongs to space group Cmcm (No. 63); the cell edges are 3.289, 15.612 and 5.465 Å and the angles 90.00°, 90.00° and 90.00°. The distinct sites, in fractional coordinates, are Cd at (0.000, 0.054, 0.250), Cd at (0.000, 0.281, 0.750) and Hg at (0.000, 0.387, 0.250).

Its volume is 23.4 Å³ per atom. The spin magnetization is 0.0 μB/cell. As for the energy of formation from the pure elements: 0.024 eV per atom. The value obtained for the density of states at the Fermi level is 3.5 states/eV per cell.


3.
# Cd6Hg5

Cd6Hg5 after structural relaxation (PBE-GGA, the Alexandria database).

The structure belongs to space group C2/m (No. 12); the cell edges are 7.469, 11.881 and 6.725 Å and the angles 90.00°, 111.82° and 90.00°. The distinct sites, in fractional coordinates, are Cd at (0.152, 0.000, 0.239), Cd at (0.184, 0.136, 0.689), Hg at (0.000, 0.221, 0.000), Hg at (0.000, 0.361, 0.500) and Hg at (0.000, 0.500, 0.000).

Its volume is 25.2 Å³ per atom. The spin magnetization is 0.0 μB/cell. As for the energy of formation from the pure elements: 0.029 eV per atom. The value obtained for the density of states at the Fermi level is 6.9 states/eV per cell.


4.
# Cd22Hg

Cd22Hg after structural relaxation (PBE-GGA, the Alexandria database).

The structure belongs to space group Fd-3m (No. 227, origin choice 2); the cell edges are 16.317, 16.317 and 16.317 Å and the angles 90.00°, 90.00° and 90.00°. The distinct sites, in fractional coordinates, are Cd at (0.000, 0.000, 0.000), Cd at (0.000, 0.000, 0.500), Cd at (0.016, 0.375, 0.375), Cd at (0.062, 0.062, 0.819) and Hg at (0.125, 0.125, 0.625).

Its volume is 23.6 Å³ per atom. The spin magnetization is 0.0 μB/cell. As for the energy of formation from the pure elements: 0.056 eV per atom. The value obtained for the density of states at the Fermi level is 75.4 states/eV per cell.


5.
# CdHg3

CdHg3 after structural relaxation (PBE-GGA, the Alexandria database).

The structure belongs to space group R-3m (No. 166, hexagonal axes); the cell edges are 10.4914, 10.4914 and 3.3007 Å and the angles 90.00°, 90.00° and 120.00°. The distinct sites, in fractional coordinates, are Cd at (0.0000, 0.0000, 0.0000) and Hg at (0.0000, 0.5000, 0.0000).

The value obtained for the energy above the most stable polymorph in this dataset is 0.018 eV/atom. Its volume is 26.2 Å³ per atom. The spin magnetization is 0.0 μB/cell. As for the energy of formation from the pure elements: 0.036 eV per atom. The value obtained for the density of states at the Fermi level is 3.7 states/eV per cell.


6.
# Cd6Hg7

Cd6Hg7 after structural relaxation (PBE-GGA, the Alexandria database).

The structure belongs to space group R-3m (No. 166, hexagonal axes); the cell edges are 6.4931, 6.4931 and 28.2221 Å and the angles 90.00°, 90.00° and 120.00°. The distinct sites, in fractional coordinates, are Cd at (0.0000, 0.0000, 0.0509), Cd at (0.0000, 0.0000, 0.1556), Cd at (0.0000, 0.0000, 0.3358), Hg at (0.0000, 0.0000, 0.5000) and Hg at (0.0100, 0.5050, 0.9150).

Its volume is 26.4 Å³ per atom. The spin magnetization is 0.0 μB/cell. As for the energy of formation from the pure elements: 0.104 eV per atom. The value obtained for the density of states at the Fermi level is 19.5 states/eV per cell.


7.
# Cd3Hg4

Cd3Hg4 after structural relaxation (PBE-GGA, the Alexandria database).

The structure belongs to space group P6_3/m (No. 176); the cell edges are 10.4020, 10.4020 and 3.9983 Å and the angles 90.00°, 90.00° and 120.00°. The distinct sites, in fractional coordinates, are Cd at (0.0968, 0.6195, 0.2500), Hg at (0.0439, 0.2572, 0.2500) and Hg at (0.3333, 0.6667, 0.7500).

The value obtained for the energy above the most stable polymorph in this dataset is 0.007 eV/atom. Its volume is 26.8 Å³ per atom. The spin magnetization is 0.0 μB/cell. As for the energy of formation from the pure elements: 0.033 eV per atom. The value obtained for the density of states at the Fermi level is 1.0 states/eV per cell.


8.
# CdHg3

CdHg3 after structural relaxation (PBE-GGA, the Alexandria database).

The structure belongs to space group P-6m2 (No. 187); the cell edges are 3.2614, 3.2614 and 11.0420 Å and the angles 90.00°, 90.00° and 120.00°. The distinct sites, in fractional coordinates, are Cd at (0.0000, 0.0000, 0.0000), Hg at (0.0000, 0.0000, 0.5000) and Hg at (0.3333, 0.6667, 0.2455).

The value obtained for the energy above the most stable polymorph in this dataset is 0.025 eV/atom. Its volume is 25.4 Å³ per atom. The spin magnetization is 0.0 μB/cell. As for the energy of formation from the pure elements: 0.044 eV per atom. The value obtained for the density of states at the Fermi level is 1.6 states/eV per cell.